## w
Computed, not measured: an optimized crystal structure of Co2PdI at the PBE level of DFT.

a = 4.421 Å, b = 4.421 Å, c = 4.421 Å
α = 60.00°, β = 60.00°, γ = 60.00°
Fractional coordinates of all 4 atoms:
Co  0.250  0.250  0.250
Co  0.750  0.750  0.750
Pd  0.000  0.000  0.000
I  0.500  0.500  0.500

Computed properties:
Space-group type: Fm-3m, No. 225
Density: 9.5 g cm⁻³
M_tot: 3.0 μB per formula unit


## x
Computed, not measured: an optimized crystal structure of Co2PdI at the PBE level of DFT.

a = 6.906 Å, b = 6.906 Å, c = 6.906 Å
α = 130.22°, β = 130.22°, γ = 73.05°
Fractional coordinates of all 8 atoms:
Co  0.098  0.625  0.973
Co  0.375  0.348  0.473
Co  0.652  0.125  0.027
Co  0.875  0.902  0.527
Pd  0.000  0.000  0.000
Pd  0.750  0.250  0.500
I  0.250  0.750  0.500
I  0.500  0.500  0.000

Computed properties:
Space-group type: I-42d, No. 122
Density: 6.2 g cm⁻³
M_tot: 4.9 μB per formula unit


Which of them is least stable? Easy: x.


## w
Computed, not measured: an optimized crystal structure of CoPd2I at the PBE level of DFT.

a = 4.614 Å, b = 4.614 Å, c = 4.614 Å
α = 60.00°, β = 60.00°, γ = 60.00°
Fractional coordinates of all 4 atoms:
Co  0.000  0.000  0.000
Pd  0.250  0.250  0.250
Pd  0.750  0.750  0.750
I  0.500  0.500  0.500

Computed properties:
Space-group type: Fm-3m, No. 225
Density: 9.5 g cm⁻³
M_tot: 2.3 μB per formula unit


## x
Computed, not measured: an optimized crystal structure of CoPd2I at the PBE level of DFT.

a = 9.835 Å, b = 9.835 Å, c = 9.835 Å
α = 157.13°, β = 157.13°, γ = 32.56°
Fractional coordinates of all 8 atoms:
Co  0.000  0.000  0.000
Co  0.750  0.250  0.500
Pd  0.115  0.625  0.990
Pd  0.375  0.365  0.490
Pd  0.635  0.125  0.010
Pd  0.875  0.885  0.510
I  0.250  0.750  0.500
I  0.500  0.500  0.000

Computed properties:
Space-group type: I-42d, No. 122
Density: 9.2 g cm⁻³
M_tot: 2.0 μB per formula unit


Which of them is least stable? Easy: w.


## w
Computed, not measured: an optimized crystal structure of CoTe2PdI at the PBE level of DFT.

a = 4.905 Å, b = 4.905 Å, c = 5.454 Å
α = 90.00°, β = 90.00°, γ = 90.00°
Fractional coordinates of all 5 atoms:
Co  0.000  0.000  0.000
Te  0.000  0.500  0.000
Te  0.500  0.000  0.000
Pd  0.500  0.500  0.500
I  0.000  0.000  0.500

Computed properties:
Space-group type: P4/mmm, No. 123
Density: 6.9 g cm⁻³
M_tot: 0.0 μB per formula unit


## x
Computed, not measured: an optimized crystal structure of CoTe2PdI at the PBE level of DFT.

a = 5.288 Å, b = 5.288 Å, c = 5.428 Å
α = 90.00°, β = 90.00°, γ = 90.00°
Fractional coordinates of all 5 atoms:
Co  0.000  0.000  0.000
Te  0.000  0.500  0.500
Te  0.500  0.000  0.500
Pd  0.500  0.500  0.500
I  0.500  0.500  0.000

Computed properties:
Space-group type: P4/mmm, No. 123
Density: 6.0 g cm⁻³
M_tot: 3.0 μB per formula unit


Which of them is least stable? Easy: x.